Entry 1:
Compound: PrZn2
Source: OQMD
Functional: GGA-PBE
Structure: optimized geometry

Computed properties:
calculated volume: 251.6 Å³/cell
uncorrected energy: -31.68 eV per cell
energy of formation: -0.205 eV per atom

abc: 5.0986 10.9482 4.5079
angles: 90.00 90.00 90.00
Fractional coordinates of all 12 atoms:
Pr (0.9395, 0.0000, 0.0000)
Pr (0.4395, 0.5000, 0.0000)
Pr (0.3938, 0.0000, 0.5000)
Pr (0.8938, 0.5000, 0.5000)
Zn (0.5142, 0.2002, 0.0000)
Zn (0.0142, 0.2998, 0.0000)
Zn (0.0142, 0.7002, 0.0000)
Zn (0.5142, 0.7998, 0.0000)
Zn (0.8191, 0.2002, 0.5000)
Zn (0.3191, 0.2998, 0.5000)
Zn (0.3191, 0.7002, 0.5000)
Zn (0.8191, 0.7998, 0.5000)


Entry 2:
Compound: Li2Mg2AlZnCu2
Source: OQMD
Functional: GGA-PBE
Structure: optimized geometry

Computed properties:
calculated volume: 117.2 Å³/cell
uncorrected energy: -20.80 eV per cell

abc: 4.3595 4.3595 6.1678
angles: 90.00 90.00 90.00
Fractional coordinates of all 8 atoms:
Al (0.0000, 0.0000, 0.0000)
Cu (0.0000, 0.5000, 0.2428)
Cu (0.5000, 0.0000, 0.7572)
Li (0.5000, 0.0000, 0.2558)
Li (0.0000, 0.5000, 0.7442)
Mg (0.5000, 0.5000, 0.0000)
Mg (0.0000, 0.0000, 0.5000)
Zn (0.5000, 0.5000, 0.5000)


Entry 3:
Compound: CdReAsO
Source: OQMD
Functional: GGA-PBE
Structure: optimized geometry

Computed properties:
calculated volume: 128.8 Å³/cell
uncorrected energy: -43.71 eV per cell
offset from the most stable computed form: 0.5835 eV/atom

abc: 3.5365 3.5365 10.2993
angles: 90.00 90.00 90.00
Fractional coordinates of all 8 atoms:
As (0.0000, 0.5000, 0.2394)
As (0.5000, 0.0000, 0.7606)
Cd (0.0000, 0.0000, 0.5000)
Cd (0.5000, 0.5000, 0.5000)
O (0.0000, 0.0000, 0.0000)
O (0.5000, 0.5000, 0.0000)
Re (0.5000, 0.0000, 0.1185)
Re (0.0000, 0.5000, 0.8815)


Entry 4:
Compound: BaTmFe
Source: OQMD
Functional: GGA-PBE
Structure: optimized geometry

Computed properties:
calculated volume: 86.3 Å³/cell
uncorrected energy: -11.28 eV per cell
offset from the most stable computed form: 0.0000 eV/atom

abc: 4.9606 4.9606 4.9606
angles: 60.00 60.00 60.00
Fractional coordinates of all 3 atoms:
Ba (0.2500, 0.2500, 0.2500)
Fe (0.7500, 0.7500, 0.7500)
Tm (0.0000, 0.0000, 0.0000)


Entry 5:
Compound: LaTbH2I4
Source: OQMD
Functional: GGA-PBE
Structure: optimized geometry

Computed properties:
calculated volume: 244.0 Å³/cell
uncorrected energy: -32.43 eV per cell

abc: 4.1194 4.1194 16.6035
angles: 90.00 90.00 120.00
Fractional coordinates of all 8 atoms:
H (0.6667, 0.3333, 0.0000)
H (0.3333, 0.6667, 0.5000)
I (0.3333, 0.6667, 0.1255)
I (0.6667, 0.3333, 0.3662)
I (0.6667, 0.3333, 0.6338)
I (0.3333, 0.6667, 0.8745)
La (0.0000, 0.0000, 0.5000)
Tb (0.0000, 0.0000, 0.0000)


Entry 6:
Compound: ZnMo3N2
Source: OQMD
Functional: GGA-PBE
Structure: optimized geometry

Computed properties:
calculated volume: 149.6 Å³/cell
uncorrected energy: -100.46 eV per cell

abc: 3.1121 3.1121 17.8416
angles: 90.00 90.00 120.00
Fractional coordinates of all 12 atoms:
Mo (0.0000, 0.0000, 0.0000)
Mo (0.6667, 0.3333, 0.1283)
Mo (0.6667, 0.3333, 0.3717)
Mo (0.0000, 0.0000, 0.5000)
Mo (0.3333, 0.6667, 0.6283)
Mo (0.3333, 0.6667, 0.8717)
N (0.3333, 0.6667, 0.0689)
N (0.3333, 0.6667, 0.4311)
N (0.6667, 0.3333, 0.5689)
N (0.6667, 0.3333, 0.9311)
Zn (0.0000, 0.0000, 0.2500)
Zn (0.0000, 0.0000, 0.7500)


Entry 7:
Compound: NdHgTe
Source: OQMD
Functional: GGA-PBE
Structure: optimized geometry

Computed properties:
calculated volume: 102.7 Å³/cell
uncorrected energy: -9.82 eV per cell
offset from the most stable computed form: 0.1358 eV/atom

abc: 5.2564 5.2564 5.2564
angles: 60.00 60.00 60.00
Fractional coordinates of all 3 atoms:
Hg (0.2500, 0.2500, 0.2500)
Nd (0.7500, 0.7500, 0.7500)
Te (0.0000, 0.0000, 0.0000)


Entry 8:
Compound: Y3Fe6CoNi2
Source: OQMD
Functional: GGA-PBE
Structure: optimized geometry

Computed properties:
calculated volume: 179.5 Å³/cell
uncorrected energy: -89.14 eV per cell
energy of formation: -0.137 eV per atom

abc: 8.7070 8.7070 8.7070
angles: 33.54 33.54 33.54
Each line ends with the local moment (μB).
Fractional coordinates of all 12 atoms:
Co (0.5000, 0.5000, 0.5000)  1.30
Fe (0.5818, 0.5818, 0.0826)  2.26
Fe (0.9174, 0.4182, 0.4182)  2.25
Fe (0.4182, 0.9174, 0.4182)  2.31
Fe (0.5818, 0.0826, 0.5818)  2.31
Fe (0.0826, 0.5818, 0.5818)  2.25
Fe (0.4182, 0.4182, 0.9174)  2.26
Ni (0.3325, 0.3325, 0.3325)  0.47
Ni (0.6675, 0.6675, 0.6675)  0.47
Y (0.0000, 0.0000, 0.0000)  -0.28
Y (0.1417, 0.1417, 0.1417)  -0.39
Y (0.8583, 0.8583, 0.8583)  -0.39


> calculated volume of number 6 (ZnMo3N2)?

149.6 Å³/cell


> Which of these has the highest uncorrected energy?

NdHgTe


> Look up the uncorrected energy of the third one.

-43.71 eV per cell


> Look up the calculated volume of the second one.

117.2 Å³/cell